P:
! CaMgP2O (PBE, optimized geometry); values from VASP
! Magnetization ... 1.65 μB per formula unit
! Calculated volume ... 23.60 A^3/atom
&SYSTEM
  ibrav = 0, nat = 5, ntyp = 4
/
ATOMIC_SPECIES
Ca 40.08 Ca.upf
Mg 24.30 Mg.upf
P 30.97 P.upf
O 16.00 O.upf
CELL_PARAMETERS angstrom
5.286 0.000 0.000
0.000 5.286 0.000
0.000 0.000 4.223
ATOMIC_POSITIONS crystal
Ca 0.000 0.000 0.000
Mg 0.500 0.500 0.500
P 0.000 0.500 0.000
P 0.500 0.000 0.000
O 0.000 0.000 0.500

***

Q:
! CaMgP2O (PBE, optimized geometry); values from VASP
! Magnetization ... 0.00 μB per formula unit
! Calculated volume ... 19.69 A^3/atom
&SYSTEM
  ibrav = 0, nat = 5, ntyp = 4
/
ATOMIC_SPECIES
Ca 40.08 Ca.upf
Mg 24.30 Mg.upf
P 30.97 P.upf
O 16.00 O.upf
CELL_PARAMETERS angstrom
5.172 0.000 0.000
0.000 5.172 0.000
0.000 0.000 3.681
ATOMIC_POSITIONS crystal
Ca 0.000 0.000 0.000
Mg 0.500 0.500 0.500
P 0.000 0.500 0.500
P 0.500 0.000 0.500
O 0.500 0.500 0.000

***

Most stable = Q

***

P:
! CaMgSiO4 (PBE, optimized geometry); values from VASP
! Magnetization ... 0.00 μB per formula unit
! Calculated volume ... 11.13 A^3/atom
&SYSTEM
  ibrav = 0, nat = 14, ntyp = 4
/
ATOMIC_SPECIES
Ca 40.08 Ca.upf
Mg 24.30 Mg.upf
Si 28.09 Si.upf
O 16.00 O.upf
CELL_PARAMETERS angstrom
-2.993 3.069 4.240
2.993 -3.069 4.240
2.993 3.069 -4.240
ATOMIC_POSITIONS crystal
Ca 0.500 0.000 0.000
Ca 0.500 0.500 0.500
Mg 0.000 0.000 0.000
Mg 0.500 0.000 0.500
Si 0.116 0.366 0.750
Si 0.884 0.634 0.250
O 0.220 0.749 0.471
O 0.221 0.251 0.971
O 0.231 0.248 0.517
O 0.231 0.714 0.983
O 0.769 0.286 0.017
O 0.769 0.752 0.483
O 0.779 0.749 0.029
O 0.780 0.251 0.529

***

Q:
! CaMgSiO4 (PBE, optimized geometry); values from VASP
! Magnetization ... 0.00 μB per formula unit
! Calculated volume ... 12.54 A^3/atom
&SYSTEM
  ibrav = 0, nat = 28, ntyp = 4
/
ATOMIC_SPECIES
Ca 40.08 Ca.upf
Mg 24.30 Mg.upf
Si 28.09 Si.upf
O 16.00 O.upf
CELL_PARAMETERS angstrom
11.223 0.000 0.000
0.000 6.428 0.000
0.000 0.000 4.868
ATOMIC_POSITIONS crystal
Ca 0.223 0.250 0.021
Ca 0.277 0.750 0.521
Ca 0.723 0.250 0.479
Ca 0.777 0.750 0.979
Mg 0.000 0.000 0.500
Mg 0.000 0.500 0.500
Mg 0.500 0.000 0.000
Mg 0.500 0.500 0.000
Si 0.081 0.750 0.089
Si 0.419 0.250 0.589
Si 0.581 0.750 0.411
Si 0.919 0.250 0.911
O 0.051 0.250 0.753
O 0.078 0.750 0.754
O 0.147 0.545 0.228
O 0.147 0.955 0.228
O 0.353 0.045 0.728
O 0.353 0.455 0.728
O 0.422 0.250 0.254
O 0.449 0.750 0.253
O 0.551 0.250 0.747
O 0.578 0.750 0.746
O 0.647 0.545 0.272
O 0.647 0.955 0.272
O 0.853 0.045 0.772
O 0.853 0.455 0.772
O 0.922 0.250 0.246
O 0.949 0.750 0.247

***

R:
! CaMgSiO4 (PBE, optimized geometry); values from VASP
! Magnetization ... 0.00 μB per formula unit
! Calculated volume ... 11.70 A^3/atom
&SYSTEM
  ibrav = 0, nat = 28, ntyp = 4
/
ATOMIC_SPECIES
Ca 40.08 Ca.upf
Mg 24.30 Mg.upf
Si 28.09 Si.upf
O 16.00 O.upf
CELL_PARAMETERS angstrom
9.168 0.000 0.000
0.000 6.838 0.000
0.000 0.000 5.224
ATOMIC_POSITIONS crystal
Ca 0.147 0.250 0.026
Ca 0.353 0.750 0.526
Ca 0.647 0.250 0.474
Ca 0.853 0.750 0.974
Mg 0.000 0.000 0.500
Mg 0.000 0.500 0.500
Mg 0.500 0.000 0.000
Mg 0.500 0.500 0.000
Si 0.180 0.750 0.033
Si 0.320 0.250 0.533
Si 0.680 0.750 0.467
Si 0.820 0.250 0.967
O 0.118 0.559 0.187
O 0.118 0.941 0.187
O 0.120 0.750 0.734
O 0.139 0.250 0.559
O 0.361 0.750 0.059
O 0.380 0.250 0.234
O 0.382 0.059 0.687
O 0.382 0.441 0.687
O 0.618 0.559 0.313
O 0.618 0.941 0.313
O 0.620 0.750 0.766
O 0.639 0.250 0.941
O 0.861 0.750 0.441
O 0.880 0.250 0.266
O 0.882 0.059 0.813
O 0.882 0.441 0.813

***

Most stable = Q

***

P:
! CaMg6SnO8 (PBE, optimized geometry); values from VASP
! Magnetization ... 0.00 μB per formula unit
! Calculated volume ... 11.54 A^3/atom
&SYSTEM
  ibrav = 0, nat = 16, ntyp = 4
/
ATOMIC_SPECIES
Ca 40.08 Ca.upf
Mg 24.30 Mg.upf
Sn 118.71 Sn.upf
O 16.00 O.upf
CELL_PARAMETERS angstrom
4.519 0.000 0.000
0.000 4.519 0.000
0.000 0.000 9.044
ATOMIC_POSITIONS crystal
Ca 0.000 0.000 0.000
Mg 0.000 0.500 0.245
Mg 0.000 0.500 0.755
Mg 0.500 0.000 0.245
Mg 0.500 0.000 0.755
Mg 0.500 0.500 0.000
Mg 0.500 0.500 0.500
Sn 0.000 0.000 0.500
O 0.000 0.000 0.243
O 0.000 0.000 0.757
O 0.000 0.500 0.000
O 0.000 0.500 0.500
O 0.500 0.000 0.000
O 0.500 0.000 0.500
O 0.500 0.500 0.249
O 0.500 0.500 0.751

***

Q:
! CaMg6SnO8 (PBE, optimized geometry); values from VASP
! Magnetization ... 0.00 μB per formula unit
! Calculated volume ... 11.52 A^3/atom
&SYSTEM
  ibrav = 0, nat = 16, ntyp = 4
/
ATOMIC_SPECIES
Ca 40.08 Ca.upf
Mg 24.30 Mg.upf
Sn 118.71 Sn.upf
O 16.00 O.upf
CELL_PARAMETERS angstrom
4.527 0.000 0.000
0.000 4.527 0.000
0.000 0.000 8.991
ATOMIC_POSITIONS crystal
Ca 0.000 0.000 0.000
Mg 0.000 0.000 0.500
Mg 0.000 0.500 0.270
Mg 0.000 0.500 0.730
Mg 0.500 0.000 0.270
Mg 0.500 0.000 0.730
Mg 0.500 0.500 0.500
Sn 0.500 0.500 0.000
O 0.000 0.000 0.267
O 0.000 0.000 0.733
O 0.000 0.500 0.000
O 0.000 0.500 0.500
O 0.500 0.000 0.000
O 0.500 0.000 0.500
O 0.500 0.500 0.276
O 0.500 0.500 0.724

***

Most stable = Q

***

P:
! SrCaMg6O8 (PBE, optimized geometry); values from VASP
! Magnetization ... 0.00 μB per formula unit
! Calculated volume ... 11.61 A^3/atom
&SYSTEM
  ibrav = 0, nat = 16, ntyp = 4
/
ATOMIC_SPECIES
Sr 87.62 Sr.upf
Ca 40.08 Ca.upf
Mg 24.30 Mg.upf
O 16.00 O.upf
CELL_PARAMETERS angstrom
4.573 0.000 0.000
0.000 4.573 0.000
0.000 0.000 8.882
ATOMIC_POSITIONS crystal
Sr 0.000 0.000 0.000
Ca 0.500 0.500 0.000
Mg 0.000 0.000 0.500
Mg 0.000 0.500 0.269
Mg 0.000 0.500 0.731
Mg 0.500 0.000 0.269
Mg 0.500 0.000 0.731
Mg 0.500 0.500 0.500
O 0.000 0.000 0.274
O 0.000 0.000 0.726
O 0.000 0.500 0.000
O 0.000 0.500 0.500
O 0.500 0.000 0.000
O 0.500 0.000 0.500
O 0.500 0.500 0.267
O 0.500 0.500 0.733

***

Q:
! SrCaMg6O8 (PBE, optimized geometry); values from VASP
! Magnetization ... 0.00 μB per formula unit
! Calculated volume ... 11.65 A^3/atom
&SYSTEM
  ibrav = 0, nat = 16, ntyp = 4
/
ATOMIC_SPECIES
Sr 87.62 Sr.upf
Ca 40.08 Ca.upf
Mg 24.30 Mg.upf
O 16.00 O.upf
CELL_PARAMETERS angstrom
4.540 0.000 0.000
0.000 4.540 0.000
0.000 0.000 9.045
ATOMIC_POSITIONS crystal
Sr 0.000 0.000 0.000
Ca 0.000 0.000 0.500
Mg 0.000 0.500 0.255
Mg 0.000 0.500 0.745
Mg 0.500 0.000 0.255
Mg 0.500 0.000 0.745
Mg 0.500 0.500 0.000
Mg 0.500 0.500 0.500
O 0.000 0.000 0.258
O 0.000 0.000 0.742
O 0.000 0.500 0.000
O 0.000 0.500 0.500
O 0.500 0.000 0.000
O 0.500 0.000 0.500
O 0.500 0.500 0.252
O 0.500 0.500 0.748

***

Most stable = P

***

P:
! CaYMg6O8 (PBE, optimized geometry); values from VASP
! Magnetization ... 0.00 μB per formula unit
! Calculated volume ... 11.61 A^3/atom
&SYSTEM
  ibrav = 0, nat = 16, ntyp = 4
/
ATOMIC_SPECIES
Ca 40.08 Ca.upf
Y 88.91 Y.upf
Mg 24.30 Mg.upf
O 16.00 O.upf
CELL_PARAMETERS angstrom
4.527 0.000 0.000
0.000 4.527 0.000
0.000 0.000 9.068
ATOMIC_POSITIONS crystal
Ca 0.000 0.000 0.000
Y 0.000 0.000 0.500
Mg 0.000 0.500 0.239
Mg 0.000 0.500 0.761
Mg 0.500 0.000 0.239
Mg 0.500 0.000 0.761
Mg 0.500 0.500 0.000
Mg 0.500 0.500 0.500
O 0.000 0.000 0.253
O 0.000 0.000 0.747
O 0.000 0.500 0.000
O 0.000 0.500 0.500
O 0.500 0.000 0.000
O 0.500 0.000 0.500
O 0.500 0.500 0.245
O 0.500 0.500 0.755

***

Q:
! CaYMg6O8 (PBE, optimized geometry); values from VASP
! Magnetization ... 0.00 μB per formula unit
! Calculated volume ... 11.40 A^3/atom
&SYSTEM
  ibrav = 0, nat = 16, ntyp = 4
/
ATOMIC_SPECIES
Ca 40.08 Ca.upf
Y 88.91 Y.upf
Mg 24.30 Mg.upf
O 16.00 O.upf
CELL_PARAMETERS angstrom
4.517 0.000 0.000
0.000 4.517 0.000
0.000 0.000 8.935
ATOMIC_POSITIONS crystal
Ca 0.000 0.000 0.000
Y 0.500 0.500 0.000
Mg 0.000 0.000 0.500
Mg 0.000 0.500 0.270
Mg 0.000 0.500 0.730
Mg 0.500 0.000 0.270
Mg 0.500 0.000 0.730
Mg 0.500 0.500 0.500
O 0.000 0.000 0.267
O 0.000 0.000 0.733
O 0.000 0.500 0.000
O 0.000 0.500 0.500
O 0.500 0.000 0.000
O 0.500 0.000 0.500
O 0.500 0.500 0.262
O 0.500 0.500 0.738

***

Most stable = Q

***

P:
! CaMgOs3 (PBE, optimized geometry); values from VASP
! Magnetization ... 1.77 μB per formula unit
! Calculated volume ... 20.67 A^3/atom
&SYSTEM
  ibrav = 0, nat = 5, ntyp = 3
/
ATOMIC_SPECIES
Ca 40.08 Ca.upf
Mg 24.30 Mg.upf
Os 190.23 Os.upf
CELL_PARAMETERS angstrom
4.693 0.000 0.000
0.000 4.693 0.000
0.000 0.000 4.693
ATOMIC_POSITIONS crystal
Ca 0.000 0.000 0.000
Mg 0.500 0.500 0.500
Os 0.000 0.000 0.500
Os 0.000 0.500 0.000
Os 0.500 0.000 0.000

***

Q:
! CaMgOs3 (PBE, optimized geometry); values from VASP
! Magnetization ... 1.53 μB per formula unit
! Calculated volume ... 19.64 A^3/atom
&SYSTEM
  ibrav = 0, nat = 5, ntyp = 3
/
ATOMIC_SPECIES
Ca 40.08 Ca.upf
Mg 24.30 Mg.upf
Os 190.23 Os.upf
CELL_PARAMETERS angstrom
4.614 0.000 0.000
0.000 4.614 0.000
0.000 0.000 4.614
ATOMIC_POSITIONS crystal
Ca 0.000 0.000 0.000
Mg 0.500 0.500 0.500
Os 0.000 0.500 0.500
Os 0.500 0.000 0.500
Os 0.500 0.500 0.000

***

Most stable = Q

***

P:
! Ca2MgP (PBE, optimized geometry); values from VASP
! Magnetization ... 0.00 μB per formula unit
! Calculated volume ... 27.08 A^3/atom
&SYSTEM
  ibrav = 0, nat = 4, ntyp = 3
/
ATOMIC_SPECIES
Ca 40.08 Ca.upf
Mg 24.30 Mg.upf
P 30.97 P.upf
CELL_PARAMETERS angstrom
-1.834 2.379 6.207
1.834 -2.379 6.207
1.834 2.379 -6.207
ATOMIC_POSITIONS crystal
Ca 0.000 0.000 0.000
Ca 0.693 0.193 0.500
Mg 0.333 0.833 0.500
P 0.500 0.500 0.000

***

Q:
! Ca2MgP (PBE, optimized geometry); values from VASP
! Magnetization ... 0.00 μB per formula unit
! Calculated volume ... 25.92 A^3/atom
&SYSTEM
  ibrav = 0, nat = 4, ntyp = 3
/
ATOMIC_SPECIES
Ca 40.08 Ca.upf
Mg 24.30 Mg.upf
P 30.97 P.upf
CELL_PARAMETERS angstrom
3.989 0.000 0.000
0.000 3.989 0.000
0.000 0.000 6.516
ATOMIC_POSITIONS crystal
Ca 0.000 0.000 0.000
Ca 0.500 0.500 0.339
Mg 0.000 0.000 0.564
P 0.500 0.500 0.804

***

R:
! Ca2MgP (PBE, optimized geometry); values from VASP
! Magnetization ... 0.00 μB per formula unit
! Calculated volume ... 31.98 A^3/atom
&SYSTEM
  ibrav = 0, nat = 4, ntyp = 3
/
ATOMIC_SPECIES
Ca 40.08 Ca.upf
Mg 24.30 Mg.upf
P 30.97 P.upf
CELL_PARAMETERS angstrom
3.613 -2.084 0.000
3.613 2.084 0.000
-2.392 0.000 8.494
ATOMIC_POSITIONS crystal
Ca 0.224 0.224 0.172
Ca 0.776 0.776 0.828
Mg 0.000 0.000 0.500
P 0.500 0.500 0.000

***

Most stable = R

***

P:
! CaMg3P (PBE, optimized geometry); values from VASP
! Magnetization ... 1.16 μB per formula unit
! Calculated volume ... 42.42 A^3/atom
&SYSTEM
  ibrav = 0, nat = 5, ntyp = 3
/
ATOMIC_SPECIES
Ca 40.08 Ca.upf
Mg 24.30 Mg.upf
P 30.97 P.upf
CELL_PARAMETERS angstrom
5.964 0.000 0.000
0.000 5.964 0.000
0.000 0.000 5.964
ATOMIC_POSITIONS crystal
Ca 0.000 0.000 0.000
Mg 0.000 0.000 0.500
Mg 0.000 0.500 0.000
Mg 0.500 0.000 0.000
P 0.500 0.500 0.500

***

Q:
! CaMg3P (PBE, optimized geometry); values from VASP
! Magnetization ... 0.00 μB per formula unit
! Calculated volume ... 26.48 A^3/atom
&SYSTEM
  ibrav = 0, nat = 5, ntyp = 3
/
ATOMIC_SPECIES
Ca 40.08 Ca.upf
Mg 24.30 Mg.upf
P 30.97 P.upf
CELL_PARAMETERS angstrom
5.097 0.000 0.000
0.000 5.097 0.000
0.000 0.000 5.097
ATOMIC_POSITIONS crystal
Ca 0.000 0.000 0.000
Mg 0.000 0.500 0.500
Mg 0.500 0.000 0.500
Mg 0.500 0.500 0.000
P 0.500 0.500 0.500

***

Most stable = Q